No. 1
Density functional theory data (PBE) for a relaxed structure of NpSi2MoOs.

Calculated values
Total DFT energy (no corrections) in eV/cell: -47.21
Total magnetization in μB per formula unit: 3.74

The structure in extended XYZ format:
```
5
Lattice="4.0855 0.0000 0.0000 0.0000 4.0855 0.0000 -2.0428 -2.0428 5.1405" Properties=species:S:1:pos:R:3 pbc="T T T"
Mo 0.0000 2.0428 2.5703
Si 2.0428 2.0428 1.1936
Si 0.0000 0.0000 3.9469
Np 0.0000 0.0000 0.0000
Os 2.0428 0.0000 2.5703
```

---

No. 2
Density functional theory data (PBE) for a relaxed structure of RbSrCrPd2.

Calculated values
ΔE_f in meV/atom: 1101
Total DFT energy (no corrections) in eV/cell: -17.15
Total magnetization in μB per formula unit: 5.11

The structure in extended XYZ format:
```
5
Lattice="5.3694 0.0000 0.0000 0.0000 6.3489 0.0000 0.0000 0.0000 5.3694" Properties=species:S:1:pos:R:3 pbc="T T T"
Rb 0.0000 3.1744 0.0000
Pd 2.6847 0.0000 0.0000
Pd 0.0000 0.0000 2.6847
Sr 0.0000 0.0000 0.0000
Cr 2.6847 3.1744 2.6847
```